## PmCu9Pd2 (PBE)

Data for a geometry-optimized PmCu9Pd2 structure.

CIF file:
```
data_PmCu9Pd2
_chemical_formula_sum 'Pm1 Cu9 Pd2'
_space_group_name_H-M_alt 'P 1'
_space_group_IT_number 1
_space_group_name_Hall 'P 1'
_cell_length_a 8.410
_cell_length_b 8.410
_cell_length_c 8.410
_cell_angle_alpha 34.45
_cell_angle_beta 34.45
_cell_angle_gamma 34.45
loop_
_atom_site_label
_atom_site_type_symbol
_atom_site_fract_x
_atom_site_fract_y
_atom_site_fract_z
_atom_site_occupancy
Pm1 Pm 0.000 0.000 0.000 1
Cu1 Cu 0.081 0.590 0.590 1
Cu2 Cu 0.334 0.334 0.334 1
Cu3 Cu 0.410 0.410 0.919 1
Cu4 Cu 0.410 0.919 0.410 1
Cu5 Cu 0.500 0.500 0.500 1
Cu6 Cu 0.590 0.081 0.590 1
Cu7 Cu 0.590 0.590 0.081 1
Cu8 Cu 0.666 0.666 0.666 1
Cu9 Cu 0.919 0.410 0.410 1
Pd1 Pd 0.145 0.145 0.145 1
Pd2 Pd 0.855 0.855 0.855 1
```

Calculated values
Crystal system = trigonal
Density of states at the Fermi level = 4.789 states/eV/f.u.
Electronic total energy = -4.485 eV/atom
Calculated density = 9.1 g/cm3
Formation enthalpy at 0 K = -0.152 eV per atom